(1)
RbLa2ScRh: optimized geometry, PBE-GGA.

The calculation puts the raw total energy at -3.466 eV per atom. As for the formation energy: 1.43 eV/atom.

Geometry as CIF:
```
data_RbLa2ScRh
_cell_length_a 5.542
_cell_length_b 5.542
_cell_length_c 4.884
_cell_angle_alpha 90.00
_cell_angle_beta 90.00
_cell_angle_gamma 90.00
_space_group_name_H-M_alt 'P 4/m m m'
_space_group_IT_number 123
_space_group_name_Hall '-P 4 2'
loop_
_atom_site_label
_atom_site_fract_x
_atom_site_fract_y
_atom_site_fract_z
Rb1 0.000 0.000 0.000
La1 0.000 0.500 0.000
Sc1 0.000 0.000 0.500
Rh1 0.500 0.500 0.500
```

(2)
RbLaSc2Rh: optimized geometry, PBE-GGA.

The calculation puts the raw total energy at -5.200 eV per atom. As for the formation energy: -0.02 eV/atom.

Geometry as CIF:
```
data_RbLaSc2Rh
_cell_length_a 5.334
_cell_length_b 5.334
_cell_length_c 5.627
_cell_angle_alpha 90.00
_cell_angle_beta 90.00
_cell_angle_gamma 90.00
_space_group_name_H-M_alt 'P 4/m m m'
_space_group_IT_number 123
_space_group_name_Hall '-P 4 2'
loop_
_atom_site_label
_atom_site_fract_x
_atom_site_fract_y
_atom_site_fract_z
Rb1 0.000 0.000 0.000
La1 0.500 0.500 0.000
Sc1 0.000 0.500 0.500
Rh1 0.500 0.500 0.500
```

(3)
RbSrLa2Rh: optimized geometry, PBE-GGA.

The calculation puts the raw total energy at -4.100 eV per atom. As for the formation energy: -0.13 eV/atom.

Geometry as CIF:
```
data_RbSrLa2Rh
_cell_length_a 5.686
_cell_length_b 5.686
_cell_length_c 6.426
_cell_angle_alpha 90.00
_cell_angle_beta 90.00
_cell_angle_gamma 90.00
_space_group_name_H-M_alt 'P 4/m m m'
_space_group_IT_number 123
_space_group_name_Hall '-P 4 2'
loop_
_atom_site_label
_atom_site_fract_x
_atom_site_fract_y
_atom_site_fract_z
Rb1 0.000 0.000 0.000
Sr1 0.500 0.500 0.000
La1 0.000 0.500 0.500
Rh1 0.500 0.500 0.500
```

(4)
RbSr2LaRh: optimized geometry, PBE-GGA.

The calculation puts the raw total energy at -3.461 eV per atom. As for the formation energy: -0.14 eV/atom.

Geometry as CIF:
```
data_RbSr2LaRh
_cell_length_a 6.338
_cell_length_b 6.338
_cell_length_c 5.464
_cell_angle_alpha 90.00
_cell_angle_beta 90.00
_cell_angle_gamma 90.00
_space_group_name_H-M_alt 'P 4/m m m'
_space_group_IT_number 123
_space_group_name_Hall '-P 4 2'
loop_
_atom_site_label
_atom_site_fract_x
_atom_site_fract_y
_atom_site_fract_z
Rb1 0.000 0.000 0.000
Sr1 0.000 0.500 0.500
La1 0.500 0.500 0.000
Rh1 0.500 0.500 0.500
```

Q: Number 3 is which compound?
A: RbSrLa2Rh

Q: Look up the raw total energy of the second one.
A: -5.200 eV per atom